Compound: Ta2CdFe
Source: Alexandria
Functional: PBE
Structure: optimized geometry

As for the formation energy: 27.7 kJ/mol of atoms. As for the raw total energy: -7.98 eV/atom. As for the crystal system: orthorhombic.

The structure belongs to space group Imm2 (No. 44); the cell edges are 3.0776, 4.7293 and 9.3264 Å and the angles 90.00°, 90.00° and 90.00°. The asymmetric unit holds Ta at (0.0000, 0.0000, 0.0000), Ta at (0.0000, 0.5000, 0.2322), Cd at (0.0000, 0.0000, 0.4488) and Fe at (0.0000, 0.5000, 0.7106).

---

Compound: Ta2CdFe
Source: Alexandria
Functional: PBE
Structure: optimized geometry

As for the formation energy: 40.0 kJ/mol of atoms. As for the raw total energy: -7.86 eV/atom. As for the crystal system: tetragonal.

The structure belongs to space group I-4m2 (No. 119); the cell edges are 4.0169, 4.0169 and 8.4496 Å and the angles 90.00°, 90.00° and 90.00°. The asymmetric unit holds Ta at (0.0000, 0.0000, 0.0000), Ta at (0.0000, 0.5000, 0.2500), Cd at (0.0000, 0.5000, 0.7500) and Fe at (0.0000, 0.0000, 0.5000).

---

Compound: TaCdFe3
Source: Alexandria
Functional: PBE
Structure: optimized geometry

As for the formation energy: 126.4 kJ/mol of atoms. The calculation puts the energy above the lowest structure with this stoichiometry at 0 meV per atom. As for the raw total energy: -6.32 eV/atom. As for the crystal system: cubic.

The structure belongs to space group Pm-3m (No. 221); the cell edges are 4.5549, 4.5549 and 4.5549 Å and the angles 90.00°, 90.00° and 90.00°. The asymmetric unit holds Ta at (0.0000, 0.0000, 0.0000), Cd at (0.5000, 0.5000, 0.5000) and Fe at (0.0000, 0.0000, 0.5000).

---

Compound: Ta2CdFe
Source: Alexandria
Functional: PBE
Structure: optimized geometry

As for the formation energy: 46.9 kJ/mol of atoms. As for the raw total energy: -7.78 eV/atom. As for the crystal system: cubic.

The structure belongs to space group F-43m (No. 216); the cell edges are 6.4882, 6.4882 and 6.4882 Å and the angles 90.00°, 90.00° and 90.00°. The asymmetric unit holds Ta at (0.0000, 0.0000, 0.0000), Ta at (0.2500, 0.2500, 0.2500), Cd at (0.0000, 0.0000, 0.5000) and Fe at (0.2500, 0.2500, 0.7500).

---

Compound: Ta2CdFe2
Source: Alexandria
Functional: PBE
Structure: optimized geometry

As for the formation energy: 6.7 kJ/mol of atoms. The calculation puts the energy above the lowest structure with this stoichiometry at 0 meV per atom. As for the raw total energy: -8.24 eV/atom. As for the crystal system: tetragonal.

The structure belongs to space group P4/mbm (No. 127); the cell edges are 7.2381, 7.2381 and 2.9599 Å and the angles 90.00°, 90.00° and 90.00°. The asymmetric unit holds Ta at (0.1557, 0.3443, 0.0000), Cd at (0.0000, 0.0000, 0.5000) and Fe at (0.1357, 0.6357, 0.5000).

---

Compound: TaCd4Fe
Source: Alexandria
Functional: PBE
Structure: optimized geometry

As for the formation energy: 64.2 kJ/mol of atoms. As for the raw total energy: -3.33 eV/atom. As for the crystal system: cubic.

The structure belongs to space group F-43m (No. 216); the cell edges are 7.7815, 7.7815 and 7.7815 Å and the angles 90.00°, 90.00° and 90.00°. The asymmetric unit holds Ta at (0.0000, 0.0000, 0.0000), Cd at (0.1251, 0.1251, 0.6251) and Fe at (0.2500, 0.2500, 0.2500).

---

Compound: Ta2CdFe2
Source: Alexandria
Functional: PBE
Structure: optimized geometry

As for the formation energy: 26.8 kJ/mol of atoms. The calculation puts the energy above the lowest structure with this stoichiometry at 209 meV per atom. As for the raw total energy: -8.03 eV/atom. As for the crystal system: tetragonal.

The structure belongs to space group P4/mbm (No. 127); the cell edges are 7.4978, 7.4978 and 2.8578 Å and the angles 90.00°, 90.00° and 90.00°. The asymmetric unit holds Ta at (0.1435, 0.3565, 0.0000), Cd at (0.0000, 0.0000, 0.0000) and Fe at (0.1428, 0.6428, 0.5000).

---

Compound: Tb5CdFe2
Source: Alexandria
Functional: PBE
Structure: optimized geometry

As for the formation energy: -6.0 kJ/mol of atoms. As for the raw total energy: -5.19 eV/atom. As for the crystal system: tetragonal.

The structure belongs to space group I4/mcm (No. 140); the cell edges are 7.6357, 7.6357 and 13.7502 Å and the angles 90.00°, 90.00° and 90.00°. The asymmetric unit holds Tb at (0.0000, 0.0000, 0.0000), Tb at (0.1691, 0.3309, 0.1357), Cd at (0.0000, 0.0000, 0.2500) and Fe at (0.1085, 0.3915, 0.5000).

---

Compound: Tb5Cd2Fe2
Source: Alexandria
Functional: PBE
Structure: optimized geometry

As for the formation energy: -9.8 kJ/mol of atoms. As for the raw total energy: -4.76 eV/atom. As for the crystal system: orthorhombic.

The structure belongs to space group Cmce (No. 64); the cell edges are 16.9468, 7.2125 and 7.3302 Å and the angles 90.00°, 90.00° and 90.00°. The asymmetric unit holds Tb at (0.0000, 0.0000, 0.0000), Tb at (0.1204, 0.1860, 0.3148), Cd at (0.2273, 0.0000, 0.0000) and Fe at (0.0000, 0.1023, 0.6078).

---

Compound: Tb3CdFe
Source: Alexandria
Functional: PBE
Structure: optimized geometry

As for the formation energy: -10.1 kJ/mol of atoms. The calculation puts the energy above the lowest structure with this stoichiometry at 0 meV per atom. As for the raw total energy: -4.76 eV/atom. As for the crystal system: monoclinic.

The structure belongs to space group C2/m (No. 12); the cell edges are 15.9771, 3.7422 and 8.6921 Å and the angles 90.00°, 91.69° and 90.00°. The asymmetric unit holds Tb at (0.0589, 0.0000, 0.2259), Tb at (0.0981, 0.5000, 0.5611), Tb at (0.2457, 0.0000, 0.7964), Cd at (0.0946, 0.5000, 0.9331) and Fe at (0.2267, 0.0000, 0.4620).

---

Compound: TbCdFe
Source: Alexandria
Functional: PBE
Structure: optimized geometry

As for the formation energy: -6.3 kJ/mol of atoms. As for the raw total energy: -4.74 eV/atom. As for the crystal system: monoclinic.

The structure belongs to space group C2/m (No. 12); the cell edges are 13.2937, 3.8314 and 5.0902 Å and the angles 90.00°, 103.15° and 90.00°. The asymmetric unit holds Tb at (0.1367, 0.0000, 0.3289), Cd at (0.0712, 0.5000, 0.7856) and Fe at (0.2325, 0.0000, 0.9059).

---

Compound: Tb3CdFe
Source: Alexandria
Functional: PBE
Structure: optimized geometry

As for the formation energy: 1.7 kJ/mol of atoms. The calculation puts the energy above the lowest structure with this stoichiometry at 122 meV per atom. As for the raw total energy: -4.64 eV/atom. As for the crystal system: cubic.

The structure belongs to space group Pm-3m (No. 221); the cell edges are 5.1584, 5.1584 and 5.1584 Å and the angles 90.00°, 90.00° and 90.00°. The asymmetric unit holds Tb at (0.0000, 0.0000, 0.5000), Cd at (0.5000, 0.5000, 0.5000) and Fe at (0.0000, 0.0000, 0.0000).

---

Which of these has the highest raw total energy?
TaCd4Fe